Entry 1:
# NaY2CuN GGA-PBE relaxed
# E_tot ... -4.33 eV/atom
# DOS(E_F) ... 4.90 states/eV/cell
data_NaY2CuN
_chemical_formula_sum 'Na1 Y2 Cu1 N1'
_cell_length_a 5.206
_cell_length_b 5.206
_cell_length_c 4.673
_cell_angle_alpha 90.00
_cell_angle_beta 90.00
_cell_angle_gamma 90.00
_symmetry_space_group_name_H-M 'P 4/m m m'
_symmetry_Int_Tables_number 123
_symmetry_space_group_name_Hall '-P 4 2'
loop_
_atom_site_label
_atom_site_type_symbol
_atom_site_fract_x
_atom_site_fract_y
_atom_site_fract_z
_atom_site_occupancy
Na1 Na 0.000 0.000 0.000 1
Y1 Y 0.000 0.500 0.500 1
Cu1 Cu 0.000 0.000 0.500 1
N1 N 0.500 0.500 0.000 1

---

Entry 2:
# CdTcNi2 GGA-PBE relaxed
# DFT formation energy ... 0.23 eV per atom
# DOS(E_F) ... 7.12 states/eV/cell
data_CdTcNi2
_chemical_formula_sum 'Cd2 Tc2 Ni4'
_cell_length_a 5.755
_cell_length_b 7.226
_cell_length_c 2.680
_cell_angle_alpha 90.00
_cell_angle_beta 90.00
_cell_angle_gamma 90.00
_symmetry_space_group_name_H-M 'C m m m'
_symmetry_Int_Tables_number 65
_symmetry_space_group_name_Hall '-C 2 2'
loop_
_atom_site_label
_atom_site_type_symbol
_atom_site_fract_x
_atom_site_fract_y
_atom_site_fract_z
_atom_site_occupancy
Cd1 Cd 0.000 0.000 0.000 1
Tc1 Tc 0.000 0.500 0.000 1
Ni1 Ni 0.250 0.250 0.500 1

---

Entry 3:
# GaB2As GGA-PBE relaxed
# DFT formation energy ... 0.33 eV per atom
# DOS(E_F) ... 2.29 states/eV/cell
# Distance to the lowest polymorph of the same formula ... 0.119 eV/atom
data_GaB2As
_chemical_formula_sum 'Ga2 B4 As2'
_cell_length_a 3.944
_cell_length_b 5.410
_cell_length_c 5.450
_cell_angle_alpha 77.46
_cell_angle_beta 77.38
_cell_angle_gamma 79.19
_symmetry_space_group_name_H-M 'P -1'
_symmetry_Int_Tables_number 2
_symmetry_space_group_name_Hall '-P 1'
loop_
_atom_site_label
_atom_site_type_symbol
_atom_site_fract_x
_atom_site_fract_y
_atom_site_fract_z
_atom_site_occupancy
Ga1 Ga 0.011 0.326 0.301 1
B1 B 0.180 0.920 0.923 1
B2 B 0.433 0.647 0.019 1
As1 As 0.417 0.223 0.681 1

---

Entry 4:
# RbPa4PbN8 GGA-PBE relaxed
# E_tot ... -8.74 eV/atom
# DOS(E_F) ... 12.31 states/eV/cell
data_RbPa4PbN8
_chemical_formula_sum 'Rb3 Pa12 Pb3 N24'
_cell_length_a 7.2098
_cell_length_b 7.2098
_cell_length_c 17.1304
_cell_angle_alpha 90.00
_cell_angle_beta 90.00
_cell_angle_gamma 120.00
_symmetry_space_group_name_H-M 'R 3 m'
_symmetry_Int_Tables_number 160
_symmetry_space_group_name_Hall 'R 3 -2"'
loop_
_atom_site_label
_atom_site_type_symbol
_atom_site_fract_x
_atom_site_fract_y
_atom_site_fract_z
_atom_site_occupancy
Rb1 Rb 0.0000 0.0000 0.0000 1
Pa1 Pa 0.0000 0.0000 0.2399 1
Pa2 Pa 0.1721 0.3441 0.4537 1
Pb1 Pb 0.0000 0.0000 0.6261 1
N1 N 0.0000 0.0000 0.3756 1
N2 N 0.0000 0.0000 0.8448 1
N3 N 0.0089 0.5045 0.8571 1
N4 N 0.0602 0.5301 0.3898 1

---

Entry 5:
# NpTiPdS4 GGA-PBE relaxed
# E_tot ... -7.16 eV/atom
# DOS(E_F) ... 37.24 states/eV/cell
data_NpTiPdS4
_chemical_formula_sum 'Np4 Ti4 Pd4 S16'
_cell_length_a 7.135
_cell_length_b 7.969
_cell_length_c 10.047
_cell_angle_alpha 90.00
_cell_angle_beta 90.00
_cell_angle_gamma 90.00
_symmetry_space_group_name_H-M 'I m m a'
_symmetry_Int_Tables_number 74
_symmetry_space_group_name_Hall '-I 2b 2'
loop_
_atom_site_label
_atom_site_type_symbol
_atom_site_fract_x
_atom_site_fract_y
_atom_site_fract_z
_atom_site_occupancy
Np1 Np 0.000 0.000 0.000 1
Ti1 Ti 0.250 0.250 0.250 1
Pd1 Pd 0.000 0.250 0.662 1
S1 S 0.000 0.037 0.261 1
S2 S 0.248 0.250 0.005 1

---

Entry 6:
# Sr2AlCd3Hg4 GGA-PBE relaxed
# DFT formation energy ... -0.27 eV per atom
# DOS(E_F) ... 4.24 states/eV/cell
data_Sr2AlCd3Hg4
_chemical_formula_sum 'Sr2 Al1 Cd3 Hg4'
_cell_length_a 4.637
_cell_length_b 4.637
_cell_length_c 12.510
_cell_angle_alpha 90.00
_cell_angle_beta 90.00
_cell_angle_gamma 90.00
_symmetry_space_group_name_H-M 'P -4 m 2'
_symmetry_Int_Tables_number 115
_symmetry_space_group_name_Hall 'P -4 -2'
loop_
_atom_site_label
_atom_site_type_symbol
_atom_site_fract_x
_atom_site_fract_y
_atom_site_fract_z
_atom_site_occupancy
Sr1 Sr 0.000 0.500 0.244 1
Al1 Al 0.500 0.500 0.000 1
Cd1 Cd 0.000 0.000 0.000 1
Cd2 Cd 0.000 0.500 0.643 1
Hg1 Hg 0.000 0.000 0.500 1
Hg2 Hg 0.000 0.500 0.868 1
Hg3 Hg 0.500 0.500 0.500 1

---

Entry 7:
# S2BrO GGA-PBE relaxed
# DOS(E_F) ... 16.10 states/eV/cell
# Distance to the lowest polymorph of the same formula ... 1.001 eV/atom
data_S2BrO
_chemical_formula_sum 'S8 Br4 O4'
_cell_length_a 6.263
_cell_length_b 6.263
_cell_length_c 6.263
_cell_angle_alpha 90.00
_cell_angle_beta 90.00
_cell_angle_gamma 90.00
_symmetry_space_group_name_H-M 'F m -3 m'
_symmetry_Int_Tables_number 225
_symmetry_space_group_name_Hall '-F 4 2 3'
loop_
_atom_site_label
_atom_site_type_symbol
_atom_site_fract_x
_atom_site_fract_y
_atom_site_fract_z
_atom_site_occupancy
S1 S 0.250 0.250 0.250 1
Br1 Br 0.000 0.000 0.000 1
O1 O 0.000 0.000 0.500 1

---

Entry 8:
# K4U3MoN8 GGA-PBE relaxed
# E_tot ... -8.02 eV/atom
# DOS(E_F) ... 14.20 states/eV/cell
data_K4U3MoN8
_chemical_formula_sum 'K12 U9 Mo3 N24'
_cell_length_a 6.8698
_cell_length_b 6.8698
_cell_length_c 19.1672
_cell_angle_alpha 90.00
_cell_angle_beta 90.00
_cell_angle_gamma 120.00
_symmetry_space_group_name_H-M 'R -3 m'
_symmetry_Int_Tables_number 166
_symmetry_space_group_name_Hall '-R 3 2"'
loop_
_atom_site_label
_atom_site_type_symbol
_atom_site_fract_x
_atom_site_fract_y
_atom_site_fract_z
_atom_site_occupancy
K1 K 0.0000 0.0000 0.0000 1
K2 K 0.0000 0.5000 0.0000 1
U1 U 0.0000 0.5000 0.5000 1
Mo1 Mo 0.0000 0.0000 0.5000 1
N1 N 0.0000 0.0000 0.2215 1
N2 N 0.0070 0.5035 0.7792 1